# 1
! Ac4Ag2P | Alexandria via LeMat-Bulk | PBE | optimized geometry; values from VASP
&SYSTEM
  ibrav = 0, nat = 7, ntyp = 3
/
ATOMIC_SPECIES
Ac 227.00 Ac.upf
Ag 107.87 Ag.upf
P 30.97 P.upf
CELL_PARAMETERS angstrom
-2.957 2.957 7.629
2.957 -2.957 7.629
2.957 2.957 -7.629
ATOMIC_POSITIONS angstrom
Ac 2.957 0.000 0.000
Ac 0.000 0.000 2.976
Ac 0.000 2.957 0.000
Ac 0.000 0.000 12.283
Ag 0.000 0.000 6.086
Ag 0.000 0.000 9.173
P 0.000 0.000 0.000
! formation energy: -0.350 eV per atom
! symmetry: I4/mmm

***

# 2
! RbTeMo2 | Alexandria via LeMat-Bulk | PBE | optimized geometry; values from VASP
&SYSTEM
  ibrav = 0, nat = 8, ntyp = 3
/
ATOMIC_SPECIES
Rb 85.47 Rb.upf
Te 127.60 Te.upf
Mo 95.94 Mo.upf
CELL_PARAMETERS angstrom
-2.417 2.417 10.021
2.417 -2.417 10.021
2.417 2.417 -10.021
ATOMIC_POSITIONS angstrom
Rb 0.000 0.000 0.000
Rb 0.000 2.417 5.011
Te 2.417 0.000 5.011
Te 0.000 0.000 10.021
Mo 1.208 -0.297 7.516
Mo 2.120 1.208 2.505
Mo 1.208 2.713 -2.505
Mo 0.297 1.208 12.526
! uncorrected formation energy: 1.036 eV/atom
! symmetry: I-42d

***

# 3
! SmYPt2 | Alexandria via LeMat-Bulk | PBE | optimized geometry; values from VASP
&SYSTEM
  ibrav = 0, nat = 4, ntyp = 3
/
ATOMIC_SPECIES
Sm 150.36 Sm.upf
Y 88.91 Y.upf
Pt 195.08 Pt.upf
CELL_PARAMETERS angstrom
2.054 1.186 6.743
-2.054 1.186 6.743
0.000 -2.372 6.743
ATOMIC_POSITIONS angstrom
Sm 0.000 0.000 0.000
Y 0.000 0.000 10.115
Pt 0.000 0.000 5.020
Pt 0.000 0.000 15.210
! formation energy: -1.086 eV per atom
! distance to the lowest polymorph of the same formula: 139 meV/atom
! symmetry: R-3m

***

# 4
! KCdGaAg | Alexandria via LeMat-Bulk | PBE | optimized geometry; values from VASP
&SYSTEM
  ibrav = 0, nat = 4, ntyp = 4
/
ATOMIC_SPECIES
K 39.10 K.upf
Cd 112.41 Cd.upf
Ga 69.72 Ga.upf
Ag 107.87 Ag.upf
CELL_PARAMETERS angstrom
2.353 1.359 6.184
-2.353 1.359 6.184
0.000 -2.717 6.184
ATOMIC_POSITIONS angstrom
K 0.000 0.000 0.000
Cd 0.000 0.000 3.579
Ga 0.000 0.000 14.893
Ag 0.000 0.000 9.027
! formation energy: -0.048 eV per atom
! symmetry: R3m